No. 1
DFT (PBE-GGA) results for a geometry-optimized GaHPd2Au structure.

Cell and atoms, written as POSCAR:
```
GaHPd2Au
1.0
4.017 0.000 0.000
0.000 4.017 0.000
0.000 0.000 4.133
Au Ga Pd H
1 1 2 1
direct
0.000 0.000 0.500
0.500 0.500 0.500
0.000 0.500 0.000
0.500 0.000 0.000
0.000 0.000 0.000
```

Results
SG: P4/mmm (123)
Energy relative to the lowest polymorph listed for this composition (meV per atom): 0

No. 2
DFT (PBE-GGA) results for a geometry-optimized GaHPd2Au structure.

Cell and atoms, written as POSCAR:
```
GaHPd2Au
1.0
3.956 0.000 0.000
0.000 3.956 0.000
0.000 0.000 4.256
Ga Pd Au H
1 2 1 1
direct
0.000 0.000 0.500
0.000 0.500 0.000
0.500 0.000 0.000
0.500 0.500 0.500
0.000 0.000 0.000
```

Results
SG: P4/mmm (123)
Energy relative to the lowest polymorph listed for this composition (meV per atom): 59

No. 3
DFT (PBE-GGA) results for a geometry-optimized GaHPd6Au2 structure.

Cell and atoms, written as POSCAR:
```
GaHPd6Au2
1.0
-3.641 3.965 -3.831
4.296 -4.239 -2.680
-1.922 -4.062 3.321
Ga Pd Au H
1 6 2 1
direct
0.997 0.498 0.480
0.962 0.824 0.268
0.031 0.172 0.693
0.456 0.137 0.272
0.537 0.859 0.689
0.148 0.320 0.273
0.846 0.676 0.688
0.573 0.285 0.846
0.420 0.711 0.115
0.996 0.997 0.980
```

Results
VASP energy (eV per atom): -4.54
SG: P1 (1)

No. 4
DFT (PBE-GGA) results for a geometry-optimized GaSiHAuS structure.

Cell and atoms, written as POSCAR:
```
GaSiHAuS
1.0
6.645 0.000 -0.043
0.000 3.225 0.000
-1.428 0.000 8.533
Au Si H S Ga
2 2 2 2 2
direct
0.720 0.000 0.483
0.720 0.500 0.983
0.991 0.000 0.131
0.991 0.500 0.631
0.980 0.500 0.804
0.980 0.000 0.304
0.217 0.000 0.603
0.217 0.500 0.103
0.569 0.000 0.749
0.569 0.500 0.249
```

Results
SG: Cm (8)
Energy relative to the lowest polymorph listed for this composition (meV per atom): 37

No. 5
DFT (PBE-GGA) results for a geometry-optimized GaSiHAuS structure.

Cell and atoms, written as POSCAR:
```
GaSiHAuS
1.0
-0.094 -3.354 -1.139
-0.234 -1.521 4.486
-5.018 -0.241 1.111
Au Ga S H Si
1 1 1 1 1
direct
0.691 0.745 0.925
0.692 0.290 0.346
0.191 0.442 0.625
0.691 0.952 0.557
0.190 0.094 0.007
```

Results
SG: Pm (6)
Energy relative to the lowest polymorph listed for this composition (meV per atom): 156

No. 6
DFT (PBE-GGA) results for a geometry-optimized GaSiHAuS structure.

Cell and atoms, written as POSCAR:
```
GaSiHAuS
1.0
-2.266 -5.119 0.755
2.547 -1.335 -1.408
5.797 2.487 8.129
H Si S Au Ga
2 2 2 2 2
direct
0.165 0.000 0.394
0.165 0.500 0.894
0.965 0.000 0.252
0.965 0.500 0.752
0.121 0.000 0.650
0.121 0.500 0.150
0.613 0.000 0.746
0.613 0.500 0.246
0.614 0.500 0.967
0.614 0.000 0.467
```

Results
SG: Cm (8)
Energy relative to the lowest polymorph listed for this composition (meV per atom): 60

No. 7
DFT (PBE-GGA) results for a geometry-optimized GaSiHAuS structure.

Cell and atoms, written as POSCAR:
```
GaSiHAuS
1.0
3.370 0.000 -0.011
0.000 4.906 0.000
-0.331 0.000 5.160
H Ga Au Si S
1 1 1 1 1
direct
0.265 0.500 0.061
0.884 0.500 0.792
0.354 0.500 0.402
0.332 0.000 0.292
0.801 0.000 0.994
```

Results
SG: Pm (6)
Energy relative to the lowest polymorph listed for this composition (meV per atom): 91

No. 8
DFT (PBE-GGA) results for a geometry-optimized GaSiHAuS structure.

Cell and atoms, written as POSCAR:
```
GaSiHAuS
1.0
3.312 -0.011 0.003
-1.657 3.967 -0.005
-0.017 -0.231 7.085
Si S Au Ga H
1 1 1 1 1
direct
0.478 0.519 0.016
0.035 0.630 0.217
0.611 0.781 0.711
0.888 0.342 0.537
0.288 0.141 0.995
```

Results
SG: P1 (1)
Energy relative to the lowest polymorph listed for this composition (meV per atom): 34